# 1
Material: La2AlCl2
Method: DFT, PBE-GGA
State: optimized geometry

## Properties
spin magnetization = 0.0 μB per formula unit
DFT total energy = -23.27 eV per formula unit

CIF file:
```
data_La2AlCl2
_chemical_formula_sum 'La4 Al2 Cl4'
_cell_length_a 4.299
_cell_length_b 4.299
_cell_length_c 15.384
_cell_angle_alpha 90.00
_cell_angle_beta 90.00
_cell_angle_gamma 90.00
_space_group_name_H-M_alt 'I 4/m m m'
_space_group_IT_number 139
_space_group_name_Hall '-I 4 2'
loop_
_atom_site_label
_atom_site_type_symbol
_atom_site_fract_x
_atom_site_fract_y
_atom_site_fract_z
La1 La 0.000 0.000 0.120
Al1 Al 0.000 0.000 0.500
Cl1 Cl 0.000 0.500 0.250
```

=====

# 2
Material: Pr2Sm2YEr
Method: DFT, PBE-GGA
State: optimized geometry

## Properties
spin magnetization = 0.0 μB per formula unit
DFT total energy = -29.69 eV per formula unit

CIF file:
```
data_Pr2Sm2YEr
_chemical_formula_sum 'Pr4 Sm4 Y2 Er2'
_cell_length_a 7.113
_cell_length_b 5.716
_cell_length_c 9.926
_cell_angle_alpha 90.00
_cell_angle_beta 90.00
_cell_angle_gamma 90.00
_space_group_name_H-M_alt 'P m m a'
_space_group_IT_number 51
loop_
_space_group_symop_operation_xyz
'x,y,z'
'-x,-y,-z'
'-x+1/2,-y,z'
'x+1/2,y,-z'
'x+1/2,-y,-z'
'-x+1/2,y,z'
'-x,y,-z'
'x,-y,z'
loop_
_atom_site_label
_atom_site_type_symbol
_atom_site_fract_x
_atom_site_fract_y
_atom_site_fract_z
Pr1 Pr 0.000 0.000 0.000
Pr2 Pr 0.250 0.500 0.176
Sm1 Sm 0.250 0.000 0.332
Sm2 Sm 0.250 0.500 0.836
Y1 Y 0.000 0.500 0.500
Er1 Er 0.250 0.000 0.660
```

=====

# 3
Material: LiTcPd2
Method: DFT, PBE-GGA
State: optimized geometry

## Properties
spin magnetization = 0.0 μB per formula unit
energy above the most stable polymorph in this dataset = 0.036 eV per atom
DFT total energy = -23.00 eV per formula unit

CIF file:
```
data_LiTcPd2
_chemical_formula_sum 'Li3 Tc3 Pd6'
_cell_length_a 2.7628
_cell_length_b 2.7628
_cell_length_c 26.3996
_cell_angle_alpha 90.00
_cell_angle_beta 90.00
_cell_angle_gamma 120.00
_space_group_name_H-M_alt 'R -3 m'
_space_group_IT_number 166
_space_group_name_Hall '-R 3 2"'
loop_
_atom_site_label
_atom_site_type_symbol
_atom_site_fract_x
_atom_site_fract_y
_atom_site_fract_z
Li1 Li 0.0000 0.0000 0.0000
Tc1 Tc 0.0000 0.0000 0.5000
Pd1 Pd 0.0000 0.0000 0.2517
```

=====

# 4
Material: Al3Pt
Method: DFT, PBE-GGA
State: optimized geometry

## Properties
spin magnetization = 0.0 μB per formula unit
DFT total energy = -18.94 eV per formula unit

CIF file:
```
data_Al3Pt
_chemical_formula_sum 'Al9 Pt3'
_cell_length_a 2.9797
_cell_length_b 2.9797
_cell_length_c 25.0606
_cell_angle_alpha 90.00
_cell_angle_beta 90.00
_cell_angle_gamma 120.00
_space_group_name_H-M_alt 'R -3 m'
_space_group_IT_number 166
_space_group_name_Hall '-R 3 2"'
loop_
_atom_site_label
_atom_site_type_symbol
_atom_site_fract_x
_atom_site_fract_y
_atom_site_fract_z
Al1 Al 0.0000 0.0000 0.0000
Al2 Al 0.0000 0.0000 0.2450
Pt1 Pt 0.0000 0.0000 0.5000
```

=====

# 5
Material: Ta2AuS2
Method: DFT, PBE-GGA
State: optimized geometry

## Properties
spin magnetization = 0.0 μB per formula unit
energy above the most stable polymorph in this dataset = 0.138 eV per atom
DFT total energy = -36.03 eV per formula unit

CIF file:
```
data_Ta2AuS2
_chemical_formula_sum 'Ta4 Au2 S4'
_cell_length_a 7.331
_cell_length_b 7.331
_cell_length_c 2.968
_cell_angle_alpha 90.00
_cell_angle_beta 90.00
_cell_angle_gamma 90.00
_space_group_name_H-M_alt 'P 4/m b m'
_space_group_IT_number 127
_space_group_name_Hall '-P 4 2ab'
loop_
_atom_site_label
_atom_site_type_symbol
_atom_site_fract_x
_atom_site_fract_y
_atom_site_fract_z
Ta1 Ta 0.155 0.345 0.000
Au1 Au 0.000 0.000 0.500
S1 S 0.136 0.636 0.500
```

=====

# 6
Material: RbNaSr2Cd
Method: DFT, PBE-GGA
State: optimized geometry

## Properties
spin magnetization = 0.0 μB per formula unit
energy above the most stable polymorph in this dataset = 0.000 eV per atom
DFT total energy = -6.42 eV per formula unit

CIF file:
```
data_RbNaSr2Cd
_chemical_formula_sum 'Rb1 Na1 Sr2 Cd1'
_cell_length_a 6.536
_cell_length_b 6.536
_cell_length_c 6.270
_cell_angle_alpha 90.00
_cell_angle_beta 90.00
_cell_angle_gamma 90.00
_space_group_name_H-M_alt 'P 4/m m m'
_space_group_IT_number 123
_space_group_name_Hall '-P 4 2'
loop_
_atom_site_label
_atom_site_type_symbol
_atom_site_fract_x
_atom_site_fract_y
_atom_site_fract_z
Rb1 Rb 0.000 0.000 0.000
Na1 Na 0.500 0.500 0.000
Sr1 Sr 0.000 0.500 0.500
Cd1 Cd 0.500 0.500 0.500
```